1.
# NdSb3

Crystalline NdSb3 at its relaxed geometry (PBE, Alexandria via LeMat-Bulk).

Cell: 4.418 6.266 4.634 Å, 90.00 90.00 90.00°
Space group Pmm2 (No. 25)
Symmetry-distinct sites (fractional):
Nd 0.000 0.000 0.000
Sb 0.000 0.500 0.858
Sb 0.500 0.000 0.485
Sb 0.500 0.500 0.284

Computed properties:
**Magnetization**: 0.00 μB per atom
**E_form (uncorrected)**: -0.50 eV per atom

---

2.
# Mn2AgSb

Crystalline Mn2AgSb at its relaxed geometry (PBE, Alexandria via LeMat-Bulk).

Cell: 3.977 3.977 8.792 Å, 90.00 90.00 90.00°
Space group I-4m2 (No. 119)
Symmetry-distinct sites (fractional):
Mn 0.000 0.000 0.000
Mn 0.000 0.500 0.250
Ag 0.000 0.500 0.750
Sb 0.000 0.000 0.500

Computed properties:
**Magnetization**: 1.76 μB per atom
**E_form (uncorrected)**: 0.26 eV per atom

---

3.
# RbLa

Crystalline RbLa at its relaxed geometry (PBE, Alexandria via LeMat-Bulk).

Cell: 8.052 8.070 12.709 Å, 90.00 90.00 90.00°
Space group P2_12_12_1 (No. 19)
Symmetry-distinct sites (fractional):
Rb 0.049 0.045 0.262
Rb 0.216 0.199 0.984
La 0.049 0.586 0.795
La 0.163 0.301 0.546

Computed properties:
**Formation energy from the elements**: 0.547 eV per atom
**Magnetization**: 0.23 μB per atom

---

4.
# LiGaSiCl2

Crystalline LiGaSiCl2 at its relaxed geometry (PBE, Alexandria via LeMat-Bulk).

Cell: 5.071 5.071 5.043 Å, 90.00 90.00 90.00°
Space group P4/mmm (No. 123)
Symmetry-distinct sites (fractional):
Li 0.000 0.000 0.000
Ga 0.500 0.500 0.000
Si 0.500 0.500 0.500
Cl 0.000 0.500 0.500

Computed properties:
**Magnetization**: 0.00 μB per atom
**E_form (uncorrected)**: -0.20 eV per atom

---

5.
# InHgOF2

Crystalline InHgOF2 at its relaxed geometry (PBE, Alexandria via LeMat-Bulk).

Cell: 4.330 4.330 4.241 Å, 90.00 90.00 90.00°
Space group P4/mmm (No. 123)
Symmetry-distinct sites (fractional):
In 0.000 0.000 0.000
Hg 0.500 0.500 0.500
O 0.000 0.000 0.500
F 0.000 0.500 0.000

Computed properties:
**Magnetization**: 0.00 μB per atom
**E_form (uncorrected)**: -1.42 eV per atom

---

6.
# Cs3Th3CdSe8

Crystalline Cs3Th3CdSe8 at its relaxed geometry (PBE, Alexandria via LeMat-Bulk).

Cell: 8.6729 8.6729 25.4550 Å, 90.00 90.00 120.00°
Space group R-3m (No. 166, hexagonal axes)
Symmetry-distinct sites (fractional):
Cs 0.0000 0.5000 0.0000
Th 0.0000 0.5000 0.5000
Cd 0.0000 0.0000 0.5000
Se 0.0000 0.0000 0.2311
Se 0.0070 0.5035 0.7725

Computed properties:
**Magnetization**: 0.00 μB per atom
**E_form (uncorrected)**: -1.45 eV per atom

---

7.
# Ta2PbCl

Crystalline Ta2PbCl at its relaxed geometry (PBE, Alexandria via LeMat-Bulk).

Cell: 6.904 6.904 6.904 Å, 90.00 90.00 90.00°
Space group F-43m (No. 216)
Symmetry-distinct sites (fractional):
Ta 0.000 0.000 0.000
Ta 0.250 0.250 0.250
Pb 0.250 0.250 0.750
Cl 0.000 0.000 0.500

Computed properties:
**Magnetization**: 0.00 μB per atom
**E_form (uncorrected)**: 0.84 eV per atom

---

8.
# Ti3ZnCu6

Crystalline Ti3ZnCu6 at its relaxed geometry (PBE, Alexandria via LeMat-Bulk).

Cell: 7.317 4.283 9.311 Å, 90.00 109.74 90.00°
Space group P2_1/m (No. 11)
Symmetry-distinct sites (fractional):
Ti 0.045 0.250 0.389
Ti 0.143 0.750 0.225
Ti 0.266 0.250 0.992
Zn 0.457 0.250 0.577
Cu 0.037 0.750 0.927
Cu 0.186 0.250 0.691
Cu 0.260 0.750 0.537
Cu 0.338 0.750 0.835
Cu 0.369 0.250 0.284
Cu 0.450 0.750 0.133

Computed properties:
**Formation energy from the elements**: -0.051 eV per atom
**Magnetization**: 0.18 μB per atom

---

9.
# FeOsSe2

Crystalline FeOsSe2 at its relaxed geometry (PBE, Alexandria via LeMat-Bulk).

Cell: 3.008 5.516 8.046 Å, 90.00 90.00 90.00°
Space group Cmmm (No. 65)
Symmetry-distinct sites (fractional):
Fe 0.000 0.000 0.000
Os 0.000 0.000 0.500
Se 0.000 0.500 0.246

Computed properties:
**Magnetization**: 0.81 μB per atom
**E_form (uncorrected)**: 0.77 eV per atom

---

10.
# Pr6Ru2SBr3

Crystalline Pr6Ru2SBr3 at its relaxed geometry (PBE, Alexandria via LeMat-Bulk).

Cell: 7.236 12.529 8.131 Å, 90.00 107.20 90.00°
Space group C2/m (No. 12)
Symmetry-distinct sites (fractional):
Pr 0.219 0.000 0.198
Pr 0.239 0.327 0.198
Ru 0.000 0.167 0.000
S 0.000 0.500 0.000
Br 0.000 0.000 0.500
Br 0.000 0.334 0.500

Computed properties:
**Magnetization**: 0.00 μB per atom
**E_form (uncorrected)**: -1.08 eV per atom

---

11.
# YFe12Ge6

Crystalline YFe12Ge6 at its relaxed geometry (PBE, Alexandria via LeMat-Bulk).

Cell: 10.6407 10.6407 8.3618 Å, 90.00 90.00 120.00°
Space group R-3m (No. 166, hexagonal axes)
Symmetry-distinct sites (fractional):
Y 0.0000 0.0000 0.0000
Fe 0.0000 0.3866 0.5000
Fe 0.0926 0.1853 0.3233
Ge 0.0308 0.5154 0.2582

Computed properties:
**Formation energy from the elements**: 0.012 eV per atom
**Magnetization**: 1.36 μB per atom

---

12.
# Al5Si4

Crystalline Al5Si4 at its relaxed geometry (PBE, Alexandria via LeMat-Bulk).

Cell: 7.7289 7.7289 5.6233 Å, 90.00 90.00 120.00°
Space group P6_3/mcm (No. 193)
Symmetry-distinct sites (fractional):
Al 0.0000 0.2913 0.2500
Al 0.3333 0.6667 0.0000
Si 0.0000 0.0000 0.0000
Si 0.0000 0.3824 0.7500

Computed properties:
**Magnetization**: 0.00 μB per atom
**E_form (uncorrected)**: 0.22 eV per atom

---

13.
# InTcPt3

Crystalline InTcPt3 at its relaxed geometry (PBE, Alexandria via LeMat-Bulk).

Cell: 4.841 4.841 4.841 Å, 90.00 90.00 90.00°
Space group Pm-3m (No. 221)
Symmetry-distinct sites (fractional):
In 0.000 0.000 0.000
Tc 0.500 0.500 0.500
Pt 0.000 0.500 0.500

Computed properties:
**Formation energy from the elements**: 0.911 eV per atom
**Magnetization**: 0.00 μB per atom

---

14.
# RbSc

Crystalline RbSc at its relaxed geometry (PBE, Alexandria via LeMat-Bulk).

Cell: 11.240 11.240 11.240 Å, 90.00 90.00 90.00°
Space group Pm-3n (No. 223)
Symmetry-distinct sites (fractional):
Rb 0.000 0.250 0.500
Sc 0.000 0.500 0.250

Computed properties:
**Formation energy from the elements**: 1.779 eV per atom
**Magnetization**: 0.99 μB per atom

---

15.
# BeAsCCl

Crystalline BeAsCCl at its relaxed geometry (PBE, Alexandria via LeMat-Bulk).

Cell: 3.085 5.070 6.001 Å, 88.25 86.82 72.30°
Space group P1 (No. 1)
Symmetry-distinct sites (fractional):
Be 0.000 0.000 0.000
As 0.216 0.531 0.176
C 0.828 0.315 0.135
Cl 0.552 0.943 0.787

Computed properties:
**Magnetization**: 0.00 μB per atom
**E_form (uncorrected)**: 0.01 eV per atom